No. 1
Li2AsF after structural relaxation. Source: Alexandria via LeMat-Bulk, functional GGA-PBEsol.

Summary:
Crystal system ... tetragonal
Raw total energy ... -4.1659 eV per atom
Density of states at the Fermi level ... 5.74 states/eV/cell
Energy relative to the elements, uncorrected ... -1.42 eV per atom

Geometry as POSCAR:
```
Li2AsF
1.0
5.628 0.000 0.000
0.000 5.628 0.000
0.000 0.000 7.240
Li As F
8 4 4
Direct
0.118 0.250 0.125
0.250 0.618 0.375
0.250 0.882 0.875
0.382 0.250 0.625
0.618 0.750 0.625
0.750 0.118 0.875
0.750 0.382 0.375
0.882 0.750 0.125
0.000 0.000 0.500
0.000 0.500 0.750
0.500 0.000 0.250
0.500 0.500 0.000
0.000 0.000 0.000
0.000 0.500 0.250
0.500 0.000 0.750
0.500 0.500 0.500
```


No. 2
LaTaSeN2 after structural relaxation. Source: Alexandria via LeMat-Bulk, functional GGA-PBEsol.

Summary:
Crystal system ... tetragonal
Raw total energy ... -6.5974 eV per atom
Density of states at the Fermi level ... 6.11 states/eV/cell
Energy relative to the elements, uncorrected ... 1.16 eV per atom

Geometry as POSCAR:
```
LaTaSeN2
1.0
4.115 0.000 0.000
0.000 4.115 0.000
0.000 0.000 5.875
La Ta Se N
1 1 1 2
Direct
0.000 0.000 0.000
0.500 0.500 0.500
0.000 0.000 0.500
0.000 0.500 0.000
0.500 0.000 0.000
```


No. 3
CrNiP2 after structural relaxation. Source: Alexandria via LeMat-Bulk, functional GGA-PBEsol.

Summary:
Crystal system ... cubic
Raw total energy ... -6.7261 eV per atom
Density of states at the Fermi level ... 11.65 states/eV/cell
Formation energy from the elements ... 104 kJ/mol of formula units

Geometry as POSCAR:
```
CrNiP2
1.0
5.764 0.000 0.000
0.000 5.764 0.000
0.000 0.000 5.764
Cr Ni P
4 4 8
Direct
0.000 0.000 0.000
0.000 0.500 0.500
0.500 0.000 0.500
0.500 0.500 0.000
0.250 0.250 0.750
0.250 0.750 0.250
0.750 0.250 0.250
0.750 0.750 0.750
0.000 0.000 0.500
0.000 0.500 0.000
0.250 0.250 0.250
0.250 0.750 0.750
0.500 0.000 0.000
0.500 0.500 0.500
0.750 0.250 0.750
0.750 0.750 0.250
```


No. 4
CuSi5 after structural relaxation. Source: Alexandria via LeMat-Bulk, functional GGA-PBEsol.

Summary:
Crystal system ... monoclinic
Raw total energy ... -5.2644 eV per atom
Density of states at the Fermi level ... 4.55 states/eV/cell
Energy relative to the elements, uncorrected ... 0.25 eV per atom
Distance to the lowest polymorph of the same formula ... 0.0 kJ per mole of atoms

Geometry as POSCAR:
```
CuSi5
1.0
9.638 0.000 0.000
0.000 2.580 0.000
-2.828 0.000 6.792
Cu Si
2 10
Direct
0.000 0.000 0.000
0.500 0.500 0.000
0.088 0.500 0.311
0.200 0.500 0.684
0.267 0.000 0.021
0.361 0.500 0.361
0.443 0.000 0.691
0.588 0.000 0.311
0.700 0.000 0.684
0.767 0.500 0.021
0.861 0.000 0.361
0.943 0.500 0.691
```